No. 1
Computed, not measured: a relaxed structure of LiCaAg4Sn2 at the GGA-PBE level of DFT.

Cell and atoms, written as extended XYZ:
```
8
Lattice="4.837 0.000 0.000 2.418 4.189 0.000 2.418 1.396 8.110" Properties=species:S:1:pos:R:3 pbc="T T T"
Li 4.837 2.792 4.055
Ca 0.000 0.000 0.000
Ag 4.837 2.792 6.732
Ag 7.255 4.189 3.220
Ag 2.418 1.396 4.890
Ag 4.837 2.792 1.377
Sn 7.255 4.189 6.119
Sn 2.418 1.396 1.991
```

- crystal system = trigonal
- Fermi-level density of states (states/eV per atom) = 0.2943
- magnetization (μB/f.u.) = 0.00
- formation energy (eV per atom) = -0.272
- calculated total energy (eV/atom) = -3.1879

=====

No. 2
Computed, not measured: a relaxed structure of Li2CaAgSn at the GGA-PBE level of DFT.

Cell and atoms, written as extended XYZ:
```
5
Lattice="5.306 0.000 0.000 0.000 5.218 0.000 0.000 0.000 5.306" Properties=species:S:1:pos:R:3 pbc="T T T"
Ca 0.000 0.000 0.000
Sn 2.653 2.609 2.653
Ag 0.000 2.609 0.000
Li 0.000 0.000 2.653
Li 2.653 0.000 0.000
```

- crystal system = tetragonal
- Fermi-level density of states (states/eV per atom) = 0.5899
- magnetization (μB/f.u.) = 0.00
- formation energy (eV per atom) = 0.682
- calculated total energy (eV/atom) = -1.8549

=====

No. 3
Computed, not measured: a relaxed structure of Sr2LiCa2Ag4 at the GGA-PBE level of DFT.

Cell and atoms, written as extended XYZ:
```
9
Lattice="-2.649 5.781 -2.671 -1.898 -1.347 6.493 6.841 0.063 0.877" Properties=species:S:1:pos:R:3 pbc="T T T"
Sr 3.449 -0.896 5.142
Sr 1.494 -0.388 2.227
Li 0.000 0.000 0.000
Ca -1.037 1.896 3.754
Ca 3.332 2.601 0.945
Ag 0.194 -1.009 5.148
Ag 2.379 2.037 4.213
Ag 4.749 -0.274 2.221
Ag -0.085 2.461 0.486
```

- crystal system = tetragonal
- Fermi-level density of states (states/eV per atom) = 0.6979
- magnetization (μB/f.u.) = 0.00
- formation energy (eV per atom) = -0.086
- calculated total energy (eV/atom) = -2.3845

=====

No. 4
Computed, not measured: a relaxed structure of Sr2Li12CaAg3 at the GGA-PBE level of DFT.

Cell and atoms, written as extended XYZ:
```
18
Lattice="-5.209 5.774 5.060 -8.588 2.581 -2.380 -7.612 -2.650 4.595" Properties=species:S:1:pos:R:3 pbc="T T T"
Sr -12.650 3.371 4.299
Sr -8.759 2.334 2.976
Li -10.059 -0.285 4.691
Li -15.317 5.782 4.475
Li -16.190 2.721 4.307
Li -8.536 5.055 4.986
Li -14.962 3.881 7.009
Li -10.678 3.031 0.270
Li -11.349 5.990 2.584
Li -6.092 -0.076 2.800
Li -5.219 2.984 2.969
Li -12.873 0.650 2.289
Li -6.446 1.824 0.266
Li -10.731 2.675 7.005
Ca 0.000 0.000 0.000
Ag -2.604 2.887 2.530
Ag -4.294 1.290 -1.190
Ag -3.806 -1.325 2.298
```

- crystal system = trigonal
- Fermi-level density of states (states/eV per atom) = 0.7278
- magnetization (μB/f.u.) = 0.00
- formation energy (eV per atom) = 0.147
- calculated total energy (eV/atom) = -1.9026

=====

No. 5
Computed, not measured: a relaxed structure of SrLiCa2Ag4 at the GGA-PBE level of DFT.

Cell and atoms, written as extended XYZ:
```
8
Lattice="-1.368 -0.635 4.944 -0.494 -4.760 1.954 7.841 -1.711 4.651" Properties=species:S:1:pos:R:3 pbc="T T T"
Sr 0.000 0.000 0.000
Li 2.990 -3.553 5.775
Ca 4.254 -5.331 8.598
Ca 1.725 -1.774 2.951
Ag 5.735 -3.524 6.538
Ag 1.317 -5.362 7.782
Ag 4.663 -1.744 3.768
Ag 0.244 -3.581 5.012
```

- crystal system = trigonal
- Fermi-level density of states (states/eV per atom) = 0.4569
- magnetization (μB/f.u.) = 0.00
- formation energy (eV per atom) = -0.234
- calculated total energy (eV/atom) = -2.6091

=====

No. 6
Computed, not measured: a relaxed structure of SrLi2CaAg2 at the GGA-PBE level of DFT.

Cell and atoms, written as extended XYZ:
```
6
Lattice="4.753 0.000 0.000 -2.377 4.116 0.000 0.000 0.000 7.969" Properties=species:S:1:pos:R:3 pbc="T T T"
Sr 0.000 0.000 0.000
Li 0.000 2.744 5.673
Li 2.377 1.372 2.296
Ca 0.000 0.000 3.984
Ag 0.000 2.744 2.217
Ag 2.377 1.372 5.752
```

- crystal system = trigonal
- Fermi-level density of states (states/eV per atom) = 0.3988
- magnetization (μB/f.u.) = 0.00
- formation energy (eV per atom) = -0.204
- calculated total energy (eV/atom) = -2.4059

=====

No. 7
Computed, not measured: a relaxed structure of Li4CaTl2Ag at the GGA-PBE level of DFT.

Cell and atoms, written as extended XYZ:
```
8
Lattice="-2.210 -1.744 3.902 2.463 -2.635 3.184 2.029 5.393 6.527" Properties=species:S:1:pos:R:3 pbc="T T T"
Li 1.755 2.670 8.121
Li 1.036 -1.621 8.762
Li 1.247 2.635 4.851
Li 0.527 -1.656 5.492
Ca 0.000 0.000 0.000
Tl 1.712 0.761 10.210
Tl 0.570 0.252 3.403
Ag 1.141 0.507 6.806
```

- crystal system = trigonal
- Fermi-level density of states (states/eV per atom) = 0.3976
- magnetization (μB/f.u.) = 0.00
- formation energy (eV per atom) = -0.213
- calculated total energy (eV/atom) = -2.3681

=====

No. 8
Computed, not measured: a relaxed structure of LiCa2TlAg at the GGA-PBE level of DFT.

Cell and atoms, written as extended XYZ:
```
5
Lattice="-5.088 1.231 2.439 1.726 -2.548 4.887 1.735 4.126 1.538" Properties=species:S:1:pos:R:3 pbc="T T T"
Tl -0.814 1.404 4.432
Ca 0.863 -1.274 2.443
Ca -2.544 0.615 1.219
Ag 0.000 0.000 0.000
Li 0.868 2.063 0.769
```

- crystal system = tetragonal
- Fermi-level density of states (states/eV per atom) = 0.5738
- magnetization (μB/f.u.) = 0.00
- formation energy (eV per atom) = -0.068
- calculated total energy (eV/atom) = -2.2945

=====

No. 9
Computed, not measured: a relaxed structure of Li12Ca2TlAg3 at the GGA-PBE level of DFT.

Cell and atoms, written as extended XYZ:
```
18
Lattice="6.997 -1.579 -1.120 2.083 6.864 -1.120 2.083 1.212 6.848" Properties=species:S:1:pos:R:3 pbc="T T T"
Li 5.598 3.259 4.893
Li 7.911 4.605 0.109
Li 5.320 6.076 4.310
Li 7.717 2.055 1.458
Li 7.911 1.626 4.310
Li 5.598 5.695 1.458
Li 5.565 3.239 -0.284
Li 3.252 1.893 4.499
Li 5.843 0.422 0.299
Li 3.446 4.443 3.151
Li 3.252 4.872 0.299
Li 5.565 0.803 3.151
Ca 8.454 4.921 3.490
Ca 2.709 1.577 1.119
Tl 0.000 0.000 0.000
Ag 3.499 -0.789 -0.560
Ag 1.041 3.432 -0.560
Ag 1.041 0.606 3.424
```

- crystal system = trigonal
- Fermi-level density of states (states/eV per atom) = 0.3265
- magnetization (μB/f.u.) = 0.00
- formation energy (eV per atom) = -0.059
- calculated total energy (eV/atom) = -2.1639

=====

No. 10
Computed, not measured: a relaxed structure of Li2CaTl2Ag2 at the GGA-PBE level of DFT.

Cell and atoms, written as extended XYZ:
```
7
Lattice="-0.551 -4.717 0.913 1.205 -3.269 -3.354 7.290 -2.944 2.002" Properties=species:S:1:pos:R:3 pbc="T T T"
Li 4.281 -2.824 0.804
Li 3.662 -8.105 -1.243
Ca 0.000 0.000 0.000
Tl 6.273 -8.209 -0.203
Tl 1.671 -2.720 -0.235
Ag 2.638 -5.411 -0.750
Ag 5.306 -5.518 0.312
```

- crystal system = trigonal
- Fermi-level density of states (states/eV per atom) = 0.2584
- magnetization (μB/f.u.) = 0.00
- formation energy (eV per atom) = -0.187
- calculated total energy (eV/atom) = -2.5102

=====

No. 11
Computed, not measured: a relaxed structure of LiCaYAg at the GGA-PBE level of DFT.

Cell and atoms, written as extended XYZ:
```
4
Lattice="5.231 0.000 0.000 2.616 4.530 0.000 2.616 1.510 4.271" Properties=species:S:1:pos:R:3 pbc="T T T"
Y 0.000 0.000 0.000
Ca 5.231 3.020 2.136
Ag 7.847 4.530 3.203
Li 2.616 1.510 1.068
```

- crystal system = cubic
- Fermi-level density of states (states/eV per atom) = 0.9634
- magnetization (μB/f.u.) = 0.00
- formation energy (eV per atom) = -0.111
- calculated total energy (eV/atom) = -3.4190

=====

No. 12
Computed, not measured: a relaxed structure of LiCa2Zn5Ag2 at the GGA-PBE level of DFT.

Cell and atoms, written as extended XYZ:
```
20
Lattice="3.881 0.000 0.000 0.000 10.159 0.000 0.000 0.000 10.159" Properties=species:S:1:pos:R:3 pbc="T T T"
Li 0.000 0.000 0.000
Li 0.000 5.080 5.080
Ca 0.000 6.878 1.798
Ca 0.000 3.282 8.361
Ca 0.000 1.798 3.282
Ca 0.000 8.361 6.878
Zn 1.941 1.918 0.531
Zn 1.941 8.242 9.628
Zn 1.941 0.531 8.242
Zn 1.941 6.997 4.548
Zn 1.941 9.628 1.918
Zn 1.941 3.162 5.611
Zn 1.941 5.611 6.997
Zn 1.941 4.548 3.162
Zn 1.941 5.080 0.000
Zn 1.941 0.000 5.080
Ag 0.000 1.248 6.328
Ag 0.000 8.911 3.832
Ag 0.000 6.328 8.911
Ag 0.000 3.832 1.248
```

- crystal system = tetragonal
- Fermi-level density of states (states/eV per atom) = 0.4781
- magnetization (μB/f.u.) = 0.00
- formation energy (eV per atom) = -0.163
- calculated total energy (eV/atom) = -1.9615

=====

No. 13
Computed, not measured: a relaxed structure of LiCa2Zn3Ag4 at the GGA-PBE level of DFT.

Cell and atoms, written as extended XYZ:
```
10
Lattice="-2.175 3.699 0.613 -3.749 -2.135 -0.421 -0.149 -1.927 11.092" Properties=species:S:1:pos:R:3 pbc="T T T"
Li -3.036 -0.181 5.642
Ca -1.123 1.385 2.979
Ca -1.987 -2.530 8.209
Zn -0.074 -0.963 5.546
Zn -1.216 0.182 9.907
Zn -1.894 -1.326 1.281
Ag -2.962 0.782 0.096
Ag 0.000 0.000 0.000
Ag -1.183 0.620 7.386
Ag -1.928 -1.764 3.803
```

- crystal system = tetragonal
- Fermi-level density of states (states/eV per atom) = 0.5775
- magnetization (μB/f.u.) = 0.00
- formation energy (eV per atom) = -0.197
- calculated total energy (eV/atom) = -2.3113

=====

No. 14
Computed, not measured: a relaxed structure of Li2CaZn2Ag2 at the GGA-PBE level of DFT.

Cell and atoms, written as extended XYZ:
```
7
Lattice="4.545 0.000 0.000 -2.272 3.925 -0.325 0.000 -2.003 7.721" Properties=species:S:1:pos:R:3 pbc="T T T"
Li 0.000 0.260 3.145
Li 2.272 1.662 4.252
Ca 0.000 0.000 0.000
Zn 2.272 -0.891 5.301
Zn 0.000 2.813 2.096
Ag 2.272 1.456 1.678
Ag 0.000 0.466 5.719
```

- crystal system = monoclinic
- Fermi-level density of states (states/eV per atom) = 0.3895
- magnetization (μB/f.u.) = 0.00
- formation energy (eV per atom) = -0.214
- calculated total energy (eV/atom) = -2.2251

=====

No. 15
Computed, not measured: a relaxed structure of LiCaZnAg3 at the GGA-PBE level of DFT.

Cell and atoms, written as extended XYZ:
```
12
Lattice="-4.722 -3.509 1.184 1.347 -3.463 -4.888 3.113 -2.096 6.199" Properties=species:S:1:pos:R:3 pbc="T T T"
Li 2.610 -5.759 0.944
Li -2.872 -3.309 1.553
Ca -1.222 -4.977 3.189
Ca 0.960 -4.091 -0.693
Zn 1.499 -3.586 2.954
Zn -1.761 -5.482 -0.458
Ag -0.051 -2.019 1.416
Ag 0.369 -0.948 -1.337
Ag -1.382 -4.270 -2.958
Ag -1.992 -2.702 -0.745
Ag 0.979 -2.515 -3.550
Ag -0.211 -7.049 1.080
```

- crystal system = orthorhombic
- Fermi-level density of states (states/eV per atom) = 0.3741
- magnetization (μB/f.u.) = 0.00
- formation energy (eV per atom) = -0.120
- calculated total energy (eV/atom) = -2.4108

=====

No. 16
Computed, not measured: a relaxed structure of LiCa2ZnAg2 at the GGA-PBE level of DFT.

Cell and atoms, written as extended XYZ:
```
12
Lattice="-4.658 -2.925 -2.574 3.763 -2.031 -4.501 2.021 -3.603 7.598" Properties=species:S:1:pos:R:3 pbc="T T T"
Li 2.823 -1.524 -3.376
Li 0.941 -0.508 -1.125
Ca -0.647 -2.807 0.726
Ca 1.774 -5.752 -0.203
Ca 2.187 -3.296 3.316
Ca -1.060 -5.263 -2.793
Zn 0.494 -2.986 -4.663
Zn -1.388 -1.970 -2.413
Ag -3.127 -3.558 -1.009
Ag 1.061 -3.125 -1.985
Ag 0.066 -5.434 2.507
Ag 4.254 -5.001 1.532
```

- crystal system = orthorhombic
- Fermi-level density of states (states/eV per atom) = 0.6042
- magnetization (μB/f.u.) = 0.00
- formation energy (eV per atom) = -0.251
- calculated total energy (eV/atom) = -2.4004

=====

No. 17
Computed, not measured: a relaxed structure of LiCa4Zn2Ag at the GGA-PBE level of DFT.

Cell and atoms, written as extended XYZ:
```
8
Lattice="5.278 0.000 0.000 2.639 4.570 0.000 2.639 1.523 8.674" Properties=species:S:1:pos:R:3 pbc="T T T"
Li 0.000 0.000 0.000
Ca 5.278 3.047 7.497
Ca 7.916 4.570 3.336
Ca 2.639 1.523 5.338
Ca 5.278 3.047 1.177
Zn 7.916 4.570 6.638
Zn 2.639 1.523 2.036
Ag 5.278 3.047 4.337
```

- crystal system = trigonal
- Fermi-level density of states (states/eV per atom) = 0.9378
- magnetization (μB/f.u.) = 0.00
- formation energy (eV per atom) = -0.193
- calculated total energy (eV/atom) = -2.1077

=====

No. 18
Computed, not measured: a relaxed structure of Li2Ca2Zn5Ag at the GGA-PBE level of DFT.

Cell and atoms, written as extended XYZ:
```
20
Lattice="3.807 0.000 0.000 0.000 10.039 0.000 0.000 0.000 10.039" Properties=species:S:1:pos:R:3 pbc="T T T"
Li 0.000 1.192 6.212
Li 0.000 8.847 3.827
Li 0.000 6.212 8.847
Li 0.000 3.827 1.192
Ca 0.000 6.829 1.809
Ca 0.000 3.211 8.230
Ca 0.000 1.809 3.211
Ca 0.000 8.230 6.829
Zn 1.904 1.956 0.515
Zn 1.904 8.084 9.524
Zn 1.904 0.515 8.084
Zn 1.904 6.975 4.505
Zn 1.904 9.524 1.956
Zn 1.904 3.064 5.535
Zn 1.904 5.535 6.975
Zn 1.904 4.505 3.064
Zn 1.904 5.020 0.000
Zn 1.904 0.000 5.020
Ag 0.000 0.000 0.000
Ag 0.000 5.020 5.020
```

- crystal system = tetragonal
- Fermi-level density of states (states/eV per atom) = 0.5560
- magnetization (μB/f.u.) = 0.00
- formation energy (eV per atom) = -0.129
- calculated total energy (eV/atom) = -1.8343

=====

No. 19
Computed, not measured: a relaxed structure of Li2CaZnAg at the GGA-PBE level of DFT.

Cell and atoms, written as extended XYZ:
```
5
Lattice="4.870 0.000 0.000 0.000 4.870 0.000 0.000 0.000 5.008" Properties=species:S:1:pos:R:3 pbc="T T T"
Zn 0.000 0.000 2.504
Ca 2.435 2.435 2.504
Ag 0.000 0.000 0.000
Li 0.000 2.435 0.000
Li 2.435 0.000 0.000
```

- crystal system = tetragonal
- Fermi-level density of states (states/eV per atom) = 0.4474
- magnetization (μB/f.u.) = 0.00
- formation energy (eV per atom) = -0.013
- calculated total energy (eV/atom) = -2.0041

=====

No. 20
Computed, not measured: a relaxed structure of Li4CaZn2Ag at the GGA-PBE level of DFT.

Cell and atoms, written as extended XYZ:
```
8
Lattice="-0.415 4.260 1.372 -3.761 1.340 2.064 2.023 -0.246 8.742" Properties=species:S:1:pos:R:3 pbc="T T T"
Li -0.062 2.050 8.346
Li -2.808 4.754 6.479
Li 0.655 0.601 5.698
Li -2.092 3.305 3.831
Ca 0.000 0.000 0.000
Zn -1.698 4.068 8.947
Zn -0.455 1.287 3.230
Ag -1.077 2.677 6.089
```

- crystal system = trigonal
- Fermi-level density of states (states/eV per atom) = 0.5195
- magnetization (μB/f.u.) = 0.00
- formation energy (eV per atom) = -0.106
- calculated total energy (eV/atom) = -1.9881